<i>
# GeBi2P2, relaxed, DFT PBE
# - Theoretical density: 7.9 Mg/m³
data_GeBi2P2
_chemical_formula_sum 'Ge1 Bi2 P2'
_cell_length_a 3.4327
_cell_length_b 3.4327
_cell_length_c 10.1245
_cell_angle_alpha 80.24
_cell_angle_beta 80.24
_cell_angle_gamma 90.00
_symmetry_space_group_name_H-M 'P 1'
_symmetry_Int_Tables_number 1
loop_
_symmetry_equiv_pos_as_xyz
'x,y,z'
loop_
_atom_site_label
_atom_site_type_symbol
_atom_site_fract_x
_atom_site_fract_y
_atom_site_fract_z
P1 P 0.2500 0.7500 0.5000
P2 P 0.7500 0.2500 0.5000
Bi1 Bi 0.3942 0.3942 0.2116
Bi2 Bi 0.6058 0.6058 0.7884
Ge1 Ge 0.0000 0.0000 0.0000

***

<ii>
# GeBi2P2, relaxed, DFT PBE
# - Theoretical density: 7.7 Mg/m³
data_GeBi2P2
_chemical_formula_sum 'Ge2 Bi4 P4'
_cell_length_a 7.7632
_cell_length_b 7.7632
_cell_length_c 3.9326
_cell_angle_alpha 90.00
_cell_angle_beta 90.00
_cell_angle_gamma 90.00
_symmetry_space_group_name_H-M 'P 1'
_symmetry_Int_Tables_number 1
loop_
_symmetry_equiv_pos_as_xyz
'x,y,z'
loop_
_atom_site_label
_atom_site_type_symbol
_atom_site_fract_x
_atom_site_fract_y
_atom_site_fract_z
Bi1 Bi 0.3416 0.1584 0.5000
Bi2 Bi 0.8416 0.3416 0.5000
Bi3 Bi 0.6584 0.8416 0.5000
Bi4 Bi 0.1584 0.6584 0.5000
P1 P 0.6655 0.1655 0.0000
P2 P 0.1655 0.3345 0.0000
P3 P 0.3345 0.8345 0.0000
P4 P 0.8345 0.6655 0.0000
Ge1 Ge 0.5000 0.5000 0.0000
Ge2 Ge 0.0000 0.0000 0.0000

***

Most stable: <i>

***

<i>
# GeBiP2S, relaxed, DFT PBE
# - Theoretical density: 5.8 Mg/m³
data_GeBiP2S
_chemical_formula_sum 'Ge1 Bi1 P2 S1'
_cell_length_a 4.7694
_cell_length_b 4.7694
_cell_length_c 4.7067
_cell_angle_alpha 90.00
_cell_angle_beta 90.00
_cell_angle_gamma 90.00
_symmetry_space_group_name_H-M 'P 1'
_symmetry_Int_Tables_number 1
loop_
_symmetry_equiv_pos_as_xyz
'x,y,z'
loop_
_atom_site_label
_atom_site_type_symbol
_atom_site_fract_x
_atom_site_fract_y
_atom_site_fract_z
S1 S 0.0000 0.0000 0.5000
P1 P 0.5000 0.0000 0.0000
P2 P 0.0000 0.5000 0.0000
Bi1 Bi 0.5000 0.5000 0.5000
Ge1 Ge 0.0000 0.0000 0.0000

***

<ii>
# GeBiP2S, relaxed, DFT PBE
# - Theoretical density: 4.4 Mg/m³
data_GeBiP2S
_chemical_formula_sum 'Ge1 Bi1 P2 S1'
_cell_length_a 5.2260
_cell_length_b 5.2260
_cell_length_c 5.2070
_cell_angle_alpha 90.00
_cell_angle_beta 90.00
_cell_angle_gamma 90.00
_symmetry_space_group_name_H-M 'P 1'
_symmetry_Int_Tables_number 1
loop_
_symmetry_equiv_pos_as_xyz
'x,y,z'
loop_
_atom_site_label
_atom_site_type_symbol
_atom_site_fract_x
_atom_site_fract_y
_atom_site_fract_z
S1 S 0.0000 0.0000 0.5000
P1 P 0.5000 0.0000 0.0000
P2 P 0.0000 0.5000 0.0000
Ge1 Ge 0.5000 0.5000 0.5000
Bi1 Bi 0.0000 0.0000 0.0000

***

Most stable: <i>

***

<i>
# Zn2GeBiP, relaxed, DFT PBE
# - Theoretical density: 6.5 Mg/m³
data_Zn2GeBiP
_chemical_formula_sum 'Zn2 Ge1 Bi1 P1'
_cell_length_a 4.7511
_cell_length_b 5.0512
_cell_length_c 4.7511
_cell_angle_alpha 90.00
_cell_angle_beta 90.00
_cell_angle_gamma 90.00
_symmetry_space_group_name_H-M 'P 1'
_symmetry_Int_Tables_number 1
loop_
_symmetry_equiv_pos_as_xyz
'x,y,z'
loop_
_atom_site_label
_atom_site_type_symbol
_atom_site_fract_x
_atom_site_fract_y
_atom_site_fract_z
Zn1 Zn 0.5000 0.0000 0.0000
Zn2 Zn 0.0000 0.0000 0.5000
Ge1 Ge 0.0000 0.0000 0.0000
Bi1 Bi 0.5000 0.5000 0.5000
P1 P 0.0000 0.5000 0.0000

***

<ii>
# Zn2GeBiP, relaxed, DFT PBE
# - Theoretical density: 6.0 Mg/m³
data_Zn2GeBiP
_chemical_formula_sum 'Zn2 Ge1 Bi1 P1'
_cell_length_a 4.6072
_cell_length_b 5.8293
_cell_length_c 4.6072
_cell_angle_alpha 90.00
_cell_angle_beta 90.00
_cell_angle_gamma 90.00
_symmetry_space_group_name_H-M 'P 1'
_symmetry_Int_Tables_number 1
loop_
_symmetry_equiv_pos_as_xyz
'x,y,z'
loop_
_atom_site_label
_atom_site_type_symbol
_atom_site_fract_x
_atom_site_fract_y
_atom_site_fract_z
Bi1 Bi 0.0000 0.5000 0.0000
P1 P 0.5000 0.5000 0.5000
Zn1 Zn 0.0000 0.0000 0.5000
Zn2 Zn 0.5000 0.0000 0.0000
Ge1 Ge 0.0000 0.0000 0.0000

***

Most stable: <i>

***

<i>
# PaGe2Bi, relaxed, DFT PBE
# - Theoretical density: 7.2 Mg/m³
data_PaGe2Bi
_chemical_formula_sum 'Pa1 Ge2 Bi1'
_cell_length_a 4.4000
_cell_length_b 4.4000
_cell_length_c 8.4607
_cell_angle_alpha 74.93
_cell_angle_beta 74.93
_cell_angle_gamma 60.00
_symmetry_space_group_name_H-M 'P 1'
_symmetry_Int_Tables_number 1
loop_
_symmetry_equiv_pos_as_xyz
'x,y,z'
loop_
_atom_site_label
_atom_site_type_symbol
_atom_site_fract_x
_atom_site_fract_y
_atom_site_fract_z
Bi1 Bi 0.0000 0.0000 0.0000
Ge1 Ge 0.1126 0.1126 0.6622
Ge2 Ge 0.8874 0.8874 0.3378
Pa1 Pa 0.5000 0.5000 0.5000

***

<ii>
# PaGe2Bi, relaxed, DFT PBE
# - Theoretical density: 10.7 Mg/m³
data_PaGe2Bi
_chemical_formula_sum 'Pa1 Ge2 Bi1'
_cell_length_a 4.1944
_cell_length_b 4.6436
_cell_length_c 4.6436
_cell_angle_alpha 90.00
_cell_angle_beta 90.00
_cell_angle_gamma 90.00
_symmetry_space_group_name_H-M 'P 1'
_symmetry_Int_Tables_number 1
loop_
_symmetry_equiv_pos_as_xyz
'x,y,z'
loop_
_atom_site_label
_atom_site_type_symbol
_atom_site_fract_x
_atom_site_fract_y
_atom_site_fract_z
Bi1 Bi 0.5000 0.5000 0.5000
Ge1 Ge 0.0000 0.5000 0.0000
Ge2 Ge 0.0000 0.0000 0.5000
Pa1 Pa 0.5000 0.0000 0.0000

***

Most stable: <ii>